Entry 1:
Sr2FeBiRh | Alexandria | PBE | relaxed; DOS at the Fermi energy = 14.3 states/eV per cell; space-group type = No. 123
1.0
5.770 0.000 0.000
0.000 5.112 0.000
0.000 0.000 5.770
Bi Sr Fe Rh
1 2 1 1
Direct
0.000 0.500 0.000
0.500 0.000 0.000
0.000 0.000 0.500
0.500 0.500 0.500
0.000 0.000 0.000


Entry 2:
AcPr3Rh2 | Alexandria | PBE | relaxed; DOS at the Fermi energy = 11.4 states/eV per cell; space-group type = No. 12; offset from the most stable computed form = 77 kJ/mol of formula units
1.0
-0.473 -5.136 -0.496
0.526 1.661 9.371
-7.347 1.144 -4.840
Ac Pr Rh
2 6 4
Direct
0.127 0.254 0.044
0.873 0.746 0.956
0.369 0.737 0.246
0.315 0.629 0.622
0.685 0.371 0.378
0.631 0.263 0.754
0.068 0.137 0.414
0.932 0.863 0.586
0.499 0.999 0.156
0.501 0.001 0.844
0.224 0.448 0.814
0.776 0.552 0.186


| no. | formation energy from the elements (eV per atom) | spin magnetization (Bohr magnetons per cell) |
| --- | --- | --- |
| 1 | 0.29 | 3.3 |
| 2 | -0.35 | 0.0 |